Entry 1:
10
Lattice="2.868 0.000 0.000 0.000 2.868 0.000 0.000 0.000 16.835" Properties=species:S:1:pos:R:3 comment="BeZn4Pd5 PBE optimized geometry" total_energy_ev_per_atom=-4.032 formation_enthalpy_0k_ev_per_atom=-0.55 magnetic_moment_mub_per_cell=0.00 rho_g_cm3=9.63 vol_a3_per_atom=13.85 pbc="T T T"
Be 0.000 0.000 0.000
Zn 0.000 0.000 3.184
Zn 0.000 0.000 6.669
Zn 0.000 0.000 10.166
Zn 0.000 0.000 13.651
Pd 1.434 1.434 1.405
Pd 1.434 1.434 4.924
Pd 1.434 1.434 8.417
Pd 1.434 1.434 11.910
Pd 1.434 1.434 15.430

Entry 2:
10
Lattice="5.955 0.000 0.000 0.000 5.955 0.000 0.000 0.000 4.060" Properties=species:S:1:pos:R:3 comment="BeZn2Pd2 PBE optimized geometry" total_energy_ev_per_atom=-3.696 formation_enthalpy_0k_ev_per_atom=-0.36 magnetic_moment_mub_per_cell=0.00 de_polymorph_kj_per_mol_atoms=0.0 rho_g_cm3=8.14 vol_a3_per_atom=14.40 pbc="T T T"
Be 0.000 0.000 0.000
Be 2.977 2.977 0.000
Zn 0.926 2.052 2.030
Zn 2.052 5.029 2.030
Zn 3.903 0.926 2.030
Zn 5.029 3.903 2.030
Pd 0.947 3.924 0.000
Pd 2.030 0.947 0.000
Pd 3.924 5.008 0.000
Pd 5.008 2.030 0.000

Entry 3:
11
Lattice="-1.909 3.416 6.017 1.909 -3.416 6.017 1.909 3.416 -6.017" Properties=species:S:1:pos:R:3 comment="Be2ZnPd8 PBE optimized geometry" total_energy_ev_per_atom=-4.853 formation_enthalpy_0k_ev_per_atom=-0.28 magnetic_moment_mub_per_cell=0.00 de_polymorph_kj_per_mol_atoms=4.4 rho_g_cm3=9.89 vol_a3_per_atom=14.27 pbc="T T T"
Be 0.000 0.000 2.486
Be 0.000 0.000 9.547
Zn 0.000 0.000 6.017
Pd 1.909 1.423 -1.982
Pd 0.000 1.297 0.000
Pd 1.909 0.000 4.275
Pd 1.909 1.423 1.982
Pd 0.000 1.993 4.035
Pd 0.000 3.416 1.742
Pd 0.000 5.536 0.000
Pd 0.000 1.993 7.998

Entry 4:
10
Lattice="6.347 0.000 0.000 0.000 6.347 0.000 0.000 0.000 3.526" Properties=species:S:1:pos:R:3 comment="BeZn2Pd2 PBE optimized geometry" total_energy_ev_per_atom=-3.488 formation_enthalpy_0k_ev_per_atom=-0.16 magnetic_moment_mub_per_cell=0.00 de_polymorph_kj_per_mol_atoms=20.2 rho_g_cm3=8.25 vol_a3_per_atom=14.20 pbc="T T T"
Be 0.000 0.000 0.000
Be 3.173 3.173 0.000
Zn 0.872 2.301 0.000
Zn 2.301 5.475 0.000
Zn 4.046 0.872 0.000
Zn 5.475 4.046 0.000
Pd 1.063 4.236 1.763
Pd 2.111 1.063 1.763
Pd 4.236 5.284 1.763
Pd 5.284 2.111 1.763

Entry 5:
5
Lattice="4.036 0.000 0.000 0.000 4.036 0.000 0.000 0.000 4.036" Properties=species:S:1:pos:R:3 comment="Be3ZnPd PBE optimized geometry" total_energy_ev_per_atom=-2.846 formation_enthalpy_0k_ev_per_atom=0.68 magnetic_moment_mub_per_cell=0.00 de_polymorph_kj_per_mol_atoms=20.1 rho_g_cm3=5.02 vol_a3_per_atom=13.15 pbc="T T T"
Be 0.000 0.000 2.018
Be 0.000 2.018 0.000
Be 2.018 0.000 0.000
Zn 0.000 0.000 0.000
Pd 2.018 2.018 2.018

Entry 6:
12
Lattice="2.028 -6.079 0.000 2.028 6.079 0.000 0.000 0.000 6.572" Properties=species:S:1:pos:R:3 comment="BeZn2Pd3 PBE optimized geometry" total_energy_ev_per_atom=-4.182 formation_enthalpy_0k_ev_per_atom=-0.54 magnetic_moment_mub_per_cell=0.00 rho_g_cm3=9.41 vol_a3_per_atom=13.50 pbc="T T T"
Be 2.028 4.044 0.000
Be 2.028 -4.044 0.000
Zn 2.028 4.046 3.286
Zn 2.028 0.000 0.000
Zn 2.028 0.000 3.286
Zn 2.028 -4.046 3.286
Pd 0.000 0.000 1.558
Pd 0.000 0.000 5.014
Pd 2.028 2.082 1.480
Pd 2.028 2.082 5.091
Pd 2.028 -2.082 1.480
Pd 2.028 -2.082 5.091

Repeat the fifth record exactly.
5
Lattice="4.036 0.000 0.000 0.000 4.036 0.000 0.000 0.000 4.036" Properties=species:S:1:pos:R:3 comment="Be3ZnPd PBE optimized geometry" total_energy_ev_per_atom=-2.846 formation_enthalpy_0k_ev_per_atom=0.68 magnetic_moment_mub_per_cell=0.00 de_polymorph_kj_per_mol_atoms=20.1 rho_g_cm3=5.02 vol_a3_per_atom=13.15 pbc="T T T"
Be 0.000 0.000 2.018
Be 0.000 2.018 0.000
Be 2.018 0.000 0.000
Zn 0.000 0.000 0.000
Pd 2.018 2.018 2.018